Computed, not measured: an optimized crystal structure of ErRuI at the PBE level of DFT. Values from VASP.

Space group   C2/m

Cell and atoms, written as Quantum ESPRESSO input:
```
&SYSTEM
  ibrav = 0, nat = 6, ntyp = 3
/
ATOMIC_SPECIES
Er 167.26 Er.upf
Ru 101.07 Ru.upf
I 126.90 I.upf
CELL_PARAMETERS angstrom
3.286 -1.898 0.000
3.286 1.898 0.000
-2.222 0.000 13.530
ATOMIC_POSITIONS crystal
Er 0.200 0.200 0.099
Er 0.800 0.800 0.901
Ru 0.345 0.345 0.534
Ru 0.655 0.655 0.466
I 0.411 0.411 0.738
I 0.589 0.589 0.262
```

Computed, not measured: an optimized crystal structure of CsCdGa2Te4 at the PBE level of DFT. Values from VASP.

Space group   I222

Cell and atoms, written as Quantum ESPRESSO input:
```
&SYSTEM
  ibrav = 0, nat = 8, ntyp = 4
/
ATOMIC_SPECIES
Cs 132.91 Cs.upf
Cd 112.41 Cd.upf
Ga 69.72 Ga.upf
Te 127.60 Te.upf
CELL_PARAMETERS angstrom
-3.536 4.522 5.150
3.536 -4.522 5.150
3.536 4.522 -5.150
ATOMIC_POSITIONS crystal
Cs 0.000 0.000 0.000
Cd 0.500 0.500 0.000
Ga 0.376 0.876 0.500
Ga 0.624 0.124 0.500
Te 0.146 0.089 0.601
Te 0.487 0.544 0.399
Te 0.513 0.911 0.057
Te 0.854 0.456 0.943
```

Computed, not measured: an optimized crystal structure of Ac2NdTmO6 at the PBE level of DFT. Values from VASP.

Space group   P2_1/c

Cell and atoms, written as Quantum ESPRESSO input:
```
&SYSTEM
  ibrav = 0, nat = 20, ntyp = 4
/
ATOMIC_SPECIES
Ac 227.00 Ac.upf
Nd 144.24 Nd.upf
Tm 168.93 Tm.upf
O 16.00 O.upf
CELL_PARAMETERS angstrom
6.075 0.000 0.000
0.000 6.268 0.000
-6.034 0.000 8.770
ATOMIC_POSITIONS crystal
Ac 0.235 0.048 0.251
Ac 0.235 0.452 0.751
Ac 0.765 0.548 0.249
Ac 0.765 0.952 0.749
Nd 0.500 0.000 0.000
Nd 0.500 0.500 0.500
Tm 0.000 0.000 0.500
Tm 0.000 0.500 0.000
O 0.120 0.204 0.931
O 0.120 0.296 0.431
O 0.232 0.691 0.935
O 0.232 0.809 0.435
O 0.365 0.056 0.742
O 0.365 0.444 0.242
O 0.635 0.556 0.758
O 0.635 0.944 0.258
O 0.768 0.191 0.565
O 0.768 0.309 0.065
O 0.880 0.704 0.569
O 0.880 0.796 0.069
```

It is found that the raw formation energy values, taken in the order of the records, are 0.0784; -0.3398; -3.3959 eV per atom.